# ThFe2Re

ThFe2Re after structural relaxation (PBE, Alexandria via LeMat-Bulk).

V   71.5 Å³ per cell
E_form   0.05 eV per atom

Cell lengths 4.044, 4.044, 5.560 Å; angles 68.68, 68.68, 60.00 degrees
Element x y z (fractional)
Re 0.000 0.000 0.000
Fe 0.293 0.293 0.120
Fe 0.707 0.707 0.880
Th 0.500 0.500 0.500

# Pd3PtF

Pd3PtF after structural relaxation (PBE, Alexandria via LeMat-Bulk).

V   79.2 Å³ per cell
E_form (uncorrected)   0.403 eV/atom

Cell lengths 4.295, 4.295, 4.295 Å; angles 90.00, 90.00, 90.00 degrees
Element x y z (fractional)
Pd 0.000 0.500 0.000
Pd 0.000 0.000 0.500
Pd 0.500 0.000 0.000
Pt 0.500 0.500 0.500
F 0.000 0.000 0.000

# Na3Cd2In9

Na3Cd2In9 after structural relaxation (PBE, Alexandria via LeMat-Bulk).

V   379.6 Å³ per cell
E_form   -0.07 eV per atom

Cell lengths 5.045, 9.140, 9.140 Å; angles 73.62, 73.98, 73.98 degrees
Element x y z (fractional)
Na 0.000 0.000 0.000
Na 0.717 0.283 0.283
Na 0.283 0.717 0.717
Cd 0.500 0.347 0.653
Cd 0.500 0.653 0.347
In 0.000 0.500 0.500
In 0.637 0.996 0.730
In 0.363 0.004 0.270
In 0.637 0.730 0.996
In 0.363 0.270 0.004
In 0.850 0.865 0.435
In 0.150 0.135 0.565
In 0.850 0.435 0.865
In 0.150 0.565 0.135

# LuScGeRh

LuScGeRh after structural relaxation (PBE, Alexandria via LeMat-Bulk).

V   76.0 Å³ per cell
E_form   -0.78 eV per atom

Cell lengths 4.755, 4.755, 4.755 Å; angles 60.00, 60.00, 60.00 degrees
Element x y z (fractional)
Sc 0.500 0.500 0.500
Ge 0.250 0.250 0.250
Lu 0.000 0.000 0.000
Rh 0.750 0.750 0.750

# BeAlSCl2

BeAlSCl2 after structural relaxation (PBE, Alexandria via LeMat-Bulk).

V   101.3 Å³ per cell
E_form (uncorrected)   -0.098 eV/atom

Cell lengths 4.590, 4.590, 4.810 Å; angles 90.00, 90.00, 90.00 degrees
Element x y z (fractional)
Be 0.500 0.500 0.500
S 0.000 0.000 0.500
Al 0.000 0.000 0.000
Cl 0.000 0.500 0.000
Cl 0.500 0.000 0.000

# MnCrRu2

MnCrRu2 after structural relaxation (PBE, Alexandria via LeMat-Bulk).

V   52.2 Å³ per cell
E_form   0.10 eV per atom

Cell lengths 4.505, 4.505, 2.689 Å; angles 90.00, 90.00, 107.10 degrees
Element x y z (fractional)
Cr 0.500 0.000 0.500
Mn 0.000 0.500 0.500
Ru 0.000 0.000 0.000
Ru 0.500 0.500 0.000

# HgS2F

HgS2F after structural relaxation (PBE, Alexandria via LeMat-Bulk).

V   65.5 Å³ per cell
E_form (uncorrected)   0.315 eV/atom

Cell lengths 4.524, 4.524, 4.524 Å; angles 60.00, 60.00, 60.00 degrees
Element x y z (fractional)
S 0.250 0.250 0.250
S 0.750 0.750 0.750
Hg 0.500 0.500 0.500
F 0.000 0.000 0.000

# Sr2Al12ZnPd3

Sr2Al12ZnPd3 after structural relaxation (PBE, Alexandria via LeMat-Bulk).

V   440.5 Å³ per cell
E_form   -0.06 eV per atom

Cell lengths 8.058, 8.058, 8.058 Å; angles 69.10, 69.10, 69.10 degrees
Element x y z (fractional)
Sr 0.603 0.603 0.603
Sr 0.397 0.397 0.397
Al 0.245 0.245 0.878
Al 0.870 0.870 0.352
Al 0.352 0.870 0.870
Al 0.878 0.245 0.245
Al 0.870 0.352 0.870
Al 0.245 0.878 0.245
Al 0.755 0.755 0.122
Al 0.130 0.130 0.648
Al 0.648 0.130 0.130
Al 0.122 0.755 0.755
Al 0.130 0.648 0.130
Al 0.755 0.122 0.755
Zn 0.000 0.000 0.000
Pd 0.500 0.000 0.000
Pd 0.000 0.500 0.000
Pd 0.000 0.000 0.500